DFT (GGA-PBEsol) results for a relaxed structure of Cs3TlF.

Output
The energy relative to the elements, uncorrected comes out at -5.1 eV per formula unit. The calculation puts the density of states at the Fermi level at 4.648 states/eV/f.u. Its space group is Pm-3m.

Unit cell a=5.9341 b=5.9341 c=5.9341 alpha=90.00 beta=90.00 gamma=90.00
Positions (direct):
Tl1 0.5000 0.5000 0.5000
Cs1 0.0000 0.5000 0.0000
Cs2 0.5000 0.0000 0.0000
Cs3 0.0000 0.0000 0.5000
F1 0.0000 0.0000 0.0000


DFT (GGA-PBEsol) results for a relaxed structure of Co2SbPt.

Output
The energy relative to the elements, uncorrected comes out at 0.0 eV per formula unit. The calculation puts the density of states at the Fermi level at 4.236 states/eV/f.u. Its space group is I4/mmm.

Unit cell a=3.9470 b=4.4791 c=3.9470 alpha=63.86 beta=90.00 gamma=116.14
Each line ends with the local moment (μB).
Positions (direct):
Co1 0.7500 0.5000 0.7500  0.97
Co2 0.2500 0.5000 0.2500  0.97
Sb1 0.5000 0.0000 0.5000  -0.03
Pt1 0.0000 0.0000 0.0000  0.17


DFT (GGA-PBEsol) results for a relaxed structure of LiScGeO4.

Output
The energy relative to the elements, uncorrected comes out at -17.6 eV per formula unit. The calculation puts the density of states at the Fermi level at 0.000 states/eV/f.u. Its space group is Pnma.

Unit cell a=4.9633 b=5.9720 c=10.6483 alpha=90.00 beta=90.00 gamma=90.00
Positions (direct):
Li1 0.0000 0.5000 0.0000
Li2 0.5000 0.5000 0.5000
Li3 0.5000 0.0000 0.5000
Li4 0.0000 0.0000 0.0000
Sc1 0.9946 0.7500 0.7287
Sc2 0.0054 0.2500 0.2713
Sc3 0.5054 0.7500 0.2287
Sc4 0.4946 0.2500 0.7713
O1 0.7993 0.2500 0.0959
O2 0.2853 0.0288 0.1730
O3 0.2021 0.2500 0.4413
O4 0.7021 0.7500 0.0587
O5 0.2007 0.7500 0.9041
O6 0.7147 0.9712 0.8270
O7 0.2147 0.4712 0.6730
O8 0.7853 0.5288 0.3270
O9 0.2853 0.4712 0.1730
O10 0.7007 0.2500 0.5959
O11 0.7979 0.7500 0.5587
O12 0.2993 0.7500 0.4041
O13 0.7147 0.5288 0.8270
O14 0.2147 0.0288 0.6730
O15 0.7853 0.9712 0.3270
O16 0.2979 0.2500 0.9413
Ge1 0.5492 0.7500 0.9106
Ge2 0.4508 0.2500 0.0894
Ge3 0.9508 0.7500 0.4106
Ge4 0.0492 0.2500 0.5894


DFT (GGA-PBEsol) results for a relaxed structure of ZnSOF2.

Output
The energy relative to the elements, uncorrected comes out at -2.4 eV per formula unit. The calculation puts the density of states at the Fermi level at 2.721 states/eV/f.u. As for the energy relative to the lowest polymorph listed for this composition: 54 meV/atom. Its space group is P4/mmm.

Unit cell a=3.3785 b=4.4232 c=4.4232 alpha=90.00 beta=90.00 gamma=90.00
Positions (direct):
S1 0.0000 0.0000 0.0000
O1 0.5000 0.0000 0.0000
F1 0.0000 0.0000 0.5000
F2 0.0000 0.5000 0.0000
Zn1 0.5000 0.5000 0.5000


DFT (GGA-PBEsol) results for a relaxed structure of SrCa2Tc.

Output
As for the formation energy: 0.753 eV/atom. The calculation puts the density of states at the Fermi level at 4.549 states/eV/f.u. As for the energy relative to the lowest polymorph listed for this composition: 41 meV/atom. Its space group is P4/mmm.

Unit cell a=4.8594 b=4.7898 c=4.7898 alpha=90.00 beta=90.00 gamma=90.00
Each line ends with the local moment (μB).
Positions (direct):
Ca1 0.0000 0.0000 0.5000  -0.05
Ca2 0.0000 0.5000 0.0000  -0.05
Sr1 0.5000 0.5000 0.5000  -0.04
Tc1 0.5000 0.0000 0.0000  1.20


DFT (GGA-PBEsol) results for a relaxed structure of KEuPdO3.

Output
The energy relative to the elements, uncorrected comes out at -10.6 eV per formula unit. The calculation puts the density of states at the Fermi level at 7.205 states/eV/f.u. Its space group is C2/m.

Unit cell a=3.8961 b=6.8141 c=7.3305 alpha=104.01 beta=90.00 gamma=106.61
Each line ends with the local moment (μB).
Positions (direct):
O1 0.8338 0.6675 0.1341  -0.10
O2 0.5061 0.0123 0.8060  -0.09
O3 0.8480 0.6959 0.7208  -0.08
O4 0.1662 0.3325 0.8659  -0.10
O5 0.4939 0.9877 0.1940  -0.09
O6 0.1520 0.3041 0.2792  -0.08
K1 0.6439 0.2878 0.5639  0.00
K2 0.3561 0.7122 0.4361  0.00
Eu1 0.6520 0.3040 0.0772  6.33
Eu2 0.3480 0.6960 0.9228  6.33
Pd1 0.0057 0.0115 0.7795  -0.11
Pd2 0.9943 0.9885 0.2205  -0.11


DFT (GGA-PBEsol) results for a relaxed structure of SrLaCd2.

Output
As for the formation energy: -0.316 eV/atom. The calculation puts the density of states at the Fermi level at 2.644 states/eV/f.u. Its space group is Pmm2.

Unit cell a=3.8470 b=5.5684 c=5.5679 alpha=90.00 beta=90.00 gamma=90.00
Positions (direct):
Sr1 0.5000 0.5000 0.1261
Cd1 0.0000 0.5000 0.6271
Cd2 0.0000 0.0000 0.1228
La1 0.5000 0.0000 0.6240


DFT (GGA-PBEsol) results for a relaxed structure of SrZrCl.

Output
The energy relative to the elements, uncorrected comes out at -1.3 eV per formula unit. The calculation puts the density of states at the Fermi level at 2.847 states/eV/f.u. Its space group is Fmm2.

Unit cell a=3.3510 b=3.3510 c=7.1097 alpha=99.64 beta=99.64 gamma=106.83
Positions (direct):
Zr1 0.6472 0.6472 0.2944
Sr1 0.3428 0.3428 0.6855
Cl1 0.0100 0.0100 0.0201


DFT (GGA-PBEsol) results for a relaxed structure of Mn2ZnSb.

Output
The energy relative to the elements, uncorrected comes out at 0.8 eV per formula unit. The calculation puts the density of states at the Fermi level at 2.452 states/eV/f.u. As for the energy relative to the lowest polymorph listed for this composition: 0 meV/atom. Its space group is I4/mmm.

Unit cell a=3.9017 b=3.8983 c=4.6702 alpha=114.67 beta=114.69 gamma=90.00
Each line ends with the local moment (μB).
Positions (direct):
Zn1 0.0000 0.5000 0.0000  -0.05
Mn1 0.7501 0.7501 0.5001  2.47
Mn2 0.2499 0.2499 0.4999  2.47
Sb1 0.5000 0.0000 0.0000  -0.07


DFT (GGA-PBEsol) results for a relaxed structure of Be4CdPb.

Output
As for the formation energy: 0.521 eV/atom. The calculation puts the density of states at the Fermi level at 1.544 states/eV/f.u. Its space group is F-43m.

Unit cell a=4.9027 b=4.9027 c=4.9027 alpha=60.00 beta=60.00 gamma=60.00
Positions (direct):
Be1 0.6219 0.6219 0.6219
Be2 0.1343 0.6219 0.6219
Be3 0.6219 0.1343 0.6219
Be4 0.6219 0.6219 0.1343
Pb1 0.0000 0.0000 0.0000
Cd1 0.2500 0.2500 0.2500


DFT (GGA-PBEsol) results for a relaxed structure of ZnCo3F.

Output
The energy relative to the elements, uncorrected comes out at 6.6 eV per formula unit. The calculation puts the density of states at the Fermi level at 7.647 states/eV/f.u. Its space group is Pm-3m.

Unit cell a=4.3382 b=4.3382 c=4.3382 alpha=90.00 beta=90.00 gamma=90.00
Each line ends with the local moment (μB).
Positions (direct):
F1 0.5000 0.5000 0.5000  0.07
Co1 0.5000 0.0000 0.0000  1.79
Co2 0.0000 0.0000 0.5000  1.79
Co3 0.0000 0.5000 0.0000  1.79
Zn1 0.0000 0.0000 0.0000  -0.08


DFT (GGA-PBEsol) results for a relaxed structure of TbP2Ru2.

Output
As for the formation energy: -1.094 eV/atom. The calculation puts the density of states at the Fermi level at 1.996 states/eV/f.u. Its space group is I4/mmm.

Unit cell a=4.0027 b=4.0027 c=5.5290 alpha=111.22 beta=111.22 gamma=90.00
Positions (direct):
Ru1 0.7500 0.2500 0.5000
Ru2 0.2500 0.7500 0.5000
P1 0.6246 0.6246 0.2492
P2 0.3754 0.3754 0.7508
Tb1 0.0000 0.0000 0.0000